# Y2NiF8 (PBE with a Hubbard U, optimized geometry)
# E, eV/atom: -6.33
# Crystal system: monoclinic
# Volume, Å³/f.u.: 148.6
data_Y2NiF8
_cell_length_a 9.5223
_cell_length_b 7.1173
_cell_length_c 4.6300
_cell_angle_alpha 90.00
_cell_angle_beta 108.75
_cell_angle_gamma 90.00
_space_group_name_H-M_alt 'C 1 2/m 1'
_space_group_IT_number 12
loop_
_space_group_symop_operation_xyz
'x,y,z'
'-x,-y,-z'
'-x,y,-z'
'x,-y,z'
'x+1/2,y+1/2,z'
'-x+1/2,-y+1/2,-z'
'-x+1/2,y+1/2,-z'
'x+1/2,-y+1/2,z'
loop_
_atom_site_label
_atom_site_type_symbol
_atom_site_fract_x
_atom_site_fract_y
_atom_site_fract_z
_atom_site_occupancy
Y1 Y 0.1757 0.0000 0.3825 1
Ni1 Ni 0.0000 0.5000 0.0000 1
F1 F 0.0790 0.0000 0.7962 1
F2 F 0.1352 0.5000 0.7643 1
F3 F 0.1450 0.3080 0.2685 1